This record from Alexandria via LeMat-Bulk describes TmPuZnSn after structural relaxation. The functional is PBE.

abc: 5.1851 5.1851 5.1851
angles: 60.00 60.00 60.00
Atoms (fractional coordinates):
Tm: 0.0000 0.0000 0.0000
Pu: 0.5000 0.5000 0.5000
Zn: 0.2500 0.2500 0.2500
Sn: 0.7500 0.7500 0.7500

Properties
Fermi-level density of states ... 9.18 states/eV/f.u.
DFT total energy ... -25.4 eV per cell
E_form ... -0.323 eV per atom

This record from Alexandria via LeMat-Bulk describes PuUSn2 after structural relaxation. The functional is PBE.

abc: 5.2945 5.2945 5.2945
angles: 60.00 60.00 60.00
Atoms (fractional coordinates):
Pu: 0.0000 0.0000 0.0000
U: 0.5000 0.5000 0.5000
Sn: 0.2500 0.2500 0.2500
Sn: 0.7500 0.7500 0.7500

Properties
Fermi-level density of states ... 16.20 states/eV/f.u.
DFT total energy ... -33.9 eV per cell
E_form ... -0.069 eV per atom

This record from Alexandria via LeMat-Bulk describes PuUSn2 after structural relaxation. The functional is PBE.

abc: 3.3133 3.3133 9.2813
angles: 90.00 90.00 90.00
Atoms (fractional coordinates):
Pu: 0.0000 0.0000 0.0000
U: 0.0000 0.0000 0.5000
Sn: 0.5000 0.5000 0.2499
Sn: 0.5000 0.5000 0.7501

Properties
Fermi-level density of states ... 11.42 states/eV/f.u.
DFT total energy ... -34.3 eV per cell
E_form ... -0.176 eV per atom

This record from Alexandria via LeMat-Bulk describes PuUSn2 after structural relaxation. The functional is PBE.

abc: 4.7096 4.7096 4.5876
angles: 90.00 90.00 90.00
Atoms (fractional coordinates):
Pu: 0.0000 0.0000 0.0000
U: 0.5000 0.5000 0.0000
Sn: 0.0000 0.5000 0.5000
Sn: 0.5000 0.0000 0.5000

Properties
Fermi-level density of states ... 9.68 states/eV/f.u.
DFT total energy ... -34.3 eV per cell
E_form ... -0.180 eV per atom

This record from Alexandria via LeMat-Bulk describes YPuSn2 after structural relaxation. The functional is PBE.

abc: 4.2725 6.1900 6.1900
angles: 44.02 90.00 90.00
Atoms (fractional coordinates):
Y: 0.0000 0.0000 0.0000
Pu: 0.5000 0.2659 0.2659
Sn: 0.0000 0.7229 0.7229
Sn: 0.5000 0.5396 0.5396

Properties
Fermi-level density of states ... 13.27 states/eV/f.u.
DFT total energy ... -30.7 eV per cell
E_form ... -0.482 eV per atom

This record from Alexandria via LeMat-Bulk describes YPu2Sn after structural relaxation. The functional is PBE.

abc: 4.5605 4.5605 5.1470
angles: 90.00 90.00 90.00
Atoms (fractional coordinates):
Y: 0.0000 0.0000 0.0000
Pu: 0.0000 0.5000 0.5000
Pu: 0.5000 0.0000 0.5000
Sn: 0.5000 0.5000 0.0000

Properties
Fermi-level density of states ... 10.34 states/eV/f.u.
DFT total energy ... -40.4 eV per cell
E_form ... -0.305 eV per atom

This record from Alexandria via LeMat-Bulk describes YPuSn2 after structural relaxation. The functional is PBE.

abc: 4.8681 4.8681 4.4687
angles: 90.00 90.00 90.00
Atoms (fractional coordinates):
Y: 0.0000 0.0000 0.0000
Pu: 0.5000 0.5000 0.0000
Sn: 0.0000 0.5000 0.5000
Sn: 0.5000 0.0000 0.5000

Properties
Fermi-level density of states ... 10.51 states/eV/f.u.
DFT total energy ... -30.8 eV per cell
E_form ... -0.491 eV per atom

This record from Alexandria via LeMat-Bulk describes YPuSn2 after structural relaxation. The functional is PBE.

abc: 3.4319 3.4319 8.9511
angles: 90.00 90.00 90.00
Atoms (fractional coordinates):
Y: 0.0000 0.0000 0.0000
Pu: 0.0000 0.0000 0.5000
Sn: 0.5000 0.5000 0.2475
Sn: 0.5000 0.5000 0.7525

Properties
Fermi-level density of states ... 8.83 states/eV/f.u.
DFT total energy ... -30.9 eV per cell
E_form ... -0.521 eV per atom

This record from Alexandria via LeMat-Bulk describes YPuZnSn after structural relaxation. The functional is PBE.

abc: 5.2261 5.2261 5.2261
angles: 60.00 60.00 60.00
Atoms (fractional coordinates):
Y: 0.0000 0.0000 0.0000
Pu: 0.5000 0.5000 0.5000
Zn: 0.2500 0.2500 0.2500
Sn: 0.7500 0.7500 0.7500

Properties
Fermi-level density of states ... 9.45 states/eV/f.u.
DFT total energy ... -27.4 eV per cell
E_form ... -0.343 eV per atom

This record from Alexandria via LeMat-Bulk describes YPu2Zn2Sn2 after structural relaxation. The functional is PBE.

abc: 9.3685 9.3685 9.3685
angles: 28.61 28.61 28.61
Atoms (fractional coordinates):
Y: 0.0000 0.0000 0.0000
Pu: 0.1439 0.1439 0.1439
Pu: 0.8561 0.8561 0.8561
Zn: 0.4255 0.4255 0.4255
Zn: 0.5745 0.5745 0.5745
Sn: 0.2673 0.2673 0.2673
Sn: 0.7327 0.7327 0.7327

Properties
Fermi-level density of states ... 14.65 states/eV/f.u.
DFT total energy ... -47.4 eV per cell
E_form ... -0.241 eV per atom

This record from Alexandria via LeMat-Bulk describes PuZnSn2 after structural relaxation. The functional is PBE.

abc: 5.1627 5.1627 5.1627
angles: 59.85 59.85 59.85
Atoms (fractional coordinates):
Pu: 0.0000 0.0000 0.0000
Zn: 0.5000 0.5000 0.5000
Sn: 0.2496 0.2496 0.2496
Sn: 0.7504 0.7504 0.7504

Properties
Fermi-level density of states ... 10.97 states/eV/f.u.
DFT total energy ... -23.8 eV per cell
E_form ... -0.049 eV per atom

This record from Alexandria via LeMat-Bulk describes PuZn2Sn after structural relaxation. The functional is PBE.

abc: 4.4077 4.6423 4.6423
angles: 74.72 90.00 90.00
Atoms (fractional coordinates):
Pu: 0.0000 0.0000 0.0000
Zn: 0.0000 0.5590 0.5590
Zn: 0.5000 0.7123 0.7123
Sn: 0.5000 0.3236 0.3236

Properties
Relative energy among the computed polymorphs ... 177 meV/atom
Fermi-level density of states ... 12.57 states/eV/f.u.
DFT total energy ... -20.8 eV per cell
E_form ... 0.025 eV per atom

This record from Alexandria via LeMat-Bulk describes PuZn2Sn after structural relaxation. The functional is PBE.

abc: 3.5414 3.5414 6.9297
angles: 90.00 90.00 90.00
Atoms (fractional coordinates):
Pu: 0.0000 0.0000 0.0000
Zn: 0.5000 0.5000 0.2668
Zn: 0.5000 0.5000 0.7332
Sn: 0.0000 0.0000 0.5000

Properties
Relative energy among the computed polymorphs ... 119 meV/atom
Fermi-level density of states ... 8.34 states/eV/f.u.
DFT total energy ... -21.0 eV per cell
E_form ... -0.033 eV per atom

This record from Alexandria via LeMat-Bulk describes Pu2ZnSn after structural relaxation. The functional is PBE.

abc: 4.4571 4.4571 4.7255
angles: 90.00 90.00 90.00
Atoms (fractional coordinates):
Pu: 0.0000 0.5000 0.0000
Pu: 0.5000 0.0000 0.0000
Zn: 0.0000 0.0000 0.5000
Sn: 0.5000 0.5000 0.5000

Properties
Fermi-level density of states ... 11.54 states/eV/f.u.
DFT total energy ... -34.8 eV per cell
E_form ... -0.219 eV per atom

This record from Alexandria via LeMat-Bulk describes PuZn2Sn after structural relaxation. The functional is PBE.

abc: 4.4165 4.4165 4.4073
angles: 90.00 90.00 90.00
Atoms (fractional coordinates):
Pu: 0.0000 0.0000 0.0000
Zn: 0.0000 0.5000 0.5000
Zn: 0.5000 0.0000 0.5000
Sn: 0.5000 0.5000 0.0000

Properties
Relative energy among the computed polymorphs ... 0 meV/atom
Fermi-level density of states ... 10.80 states/eV/f.u.
DFT total energy ... -21.5 eV per cell
E_form ... -0.152 eV per atom

This record from Alexandria via LeMat-Bulk describes PuZnSn after structural relaxation. The functional is PBE.

abc: 8.7243 8.7243 8.7243
angles: 160.07 160.07 28.32
Atoms (fractional coordinates):
Pu: 0.0000 0.0000 0.0000
Zn: 0.8234 0.8234 0.0000
Sn: 0.1897 0.1897 0.0000

Properties
Fermi-level density of states ... 5.41 states/eV/f.u.
DFT total energy ... -18.6 eV per cell
E_form ... 0.350 eV per atom

This record from Alexandria via LeMat-Bulk describes Pu2ZnSn after structural relaxation. The functional is PBE.

abc: 11.5413 11.5413 11.5413
angles: 16.02 16.02 16.02
Atoms (fractional coordinates):
Pu: 0.0944 0.0944 0.0944
Pu: 0.9056 0.9056 0.9056
Zn: 0.5000 0.5000 0.5000
Sn: 0.0000 0.0000 0.0000

Properties
Fermi-level density of states ... 14.84 states/eV/f.u.
DFT total energy ... -33.1 eV per cell
E_form ... 0.206 eV per atom

This record from Alexandria via LeMat-Bulk describes PuZnSn after structural relaxation. The functional is PBE.

abc: 4.7290 4.7290 4.7290
angles: 60.00 60.00 60.00
Atoms (fractional coordinates):
Pu: 0.0000 0.0000 0.0000
Zn: 0.2500 0.2500 0.2500
Sn: 0.5000 0.5000 0.5000

Properties
Fermi-level density of states ... 11.05 states/eV/f.u.
DFT total energy ... -20.2 eV per cell
E_form ... -0.183 eV per atom

This record from Alexandria via LeMat-Bulk describes PuZn4Sn after structural relaxation. The functional is PBE.

abc: 5.4871 5.4871 5.4871
angles: 60.00 60.00 60.00
Atoms (fractional coordinates):
Pu: 0.0000 0.0000 0.0000
Zn: 0.3748 0.3748 0.3748
Zn: 0.3748 0.3748 0.8757
Zn: 0.3748 0.8757 0.3748
Zn: 0.8757 0.3748 0.3748
Sn: 0.7500 0.7500 0.7500

Properties
Fermi-level density of states ... 11.60 states/eV/f.u.
DFT total energy ... -23.7 eV per cell
E_form ... -0.042 eV per atom

This record from Alexandria via LeMat-Bulk describes Pu2Zn3Sn after structural relaxation. The functional is PBE.

abc: 9.6953 8.9542 5.7246
angles: 79.35 65.18 35.47
Atoms (fractional coordinates):
Pu: 0.2446 0.7554 0.7554
Pu: 0.2500 0.2500 0.2500
Pu: 0.7500 0.7500 0.7500
Pu: 0.7554 0.2446 0.2446
Zn: 0.1618 0.1618 0.8382
Zn: 0.1651 0.6746 0.3253
Zn: 0.3253 0.8349 0.1651
Zn: 0.6746 0.1651 0.8349
Zn: 0.8349 0.3253 0.6746
Zn: 0.8382 0.8382 0.1618
Sn: 0.3349 0.3349 0.6651
Sn: 0.6651 0.6651 0.3349

Properties
Fermi-level density of states ... 15.23 states/eV/f.u.
DFT total energy ... -75.5 eV per cell
E_form ... -0.213 eV per atom